This record from the Alexandria database describes a geometry-optimized CaMgInRh structure. The functional is PBE.

a = 4.862 Å, b = 4.862 Å, c = 4.862 Å
α = 60.00°, β = 60.00°, γ = 60.00°
Element x y z (fractional)
Rh: 0.750 0.750 0.750
Mg: 0.000 0.000 0.000
In: 0.500 0.500 0.500
Ca: 0.250 0.250 0.250

Calculated values
For the density, the calculation gives 5.76 g/cm³. The value obtained for the volume is 81.27 Å³ per cell. For the uncorrected energy, the calculation gives -3.718 eV per atom. The density of states at the Fermi level comes out at 0.635 states/eV per atom. The magnetic moment is 0.00 μB/atom.